# 1
First-principles (PBE) data for Na2Sr3Cd7 after structural relaxation, as listed in Alexandria.

Structure (CIF):
```
data_Na2Sr3Cd7
_cell_length_a 10.803
_cell_length_b 10.803
_cell_length_c 10.803
_cell_angle_alpha 33.54
_cell_angle_beta 33.54
_cell_angle_gamma 33.54
_symmetry_space_group_name_H-M 'P 1'
_symmetry_Int_Tables_number 1
_symmetry_space_group_name_Hall 'P 1'
loop_
_atom_site_label
_atom_site_fract_x
_atom_site_fract_y
_atom_site_fract_z
Na1 0.166 0.166 0.166
Na2 0.834 0.834 0.834
Sr1 0.360 0.360 0.360
Sr2 0.500 0.500 0.500
Sr3 0.640 0.640 0.640
Cd1 0.000 0.000 0.000
Cd2 0.088 0.088 0.580
Cd3 0.088 0.580 0.088
Cd4 0.420 0.912 0.912
Cd5 0.580 0.088 0.088
Cd6 0.912 0.420 0.912
Cd7 0.912 0.912 0.420
```

Energy of formation = -0.21 eV per atom
VASP energy = -16.7 eV/cell

# 2
First-principles (PBE) data for Ho3Se4 after structural relaxation, as listed in Alexandria.

Structure (CIF):
```
data_Ho3Se4
_cell_length_a 15.015
_cell_length_b 4.079
_cell_length_c 7.108
_cell_angle_alpha 90.00
_cell_angle_beta 116.78
_cell_angle_gamma 90.00
_symmetry_space_group_name_H-M 'P 1'
_symmetry_Int_Tables_number 1
_symmetry_space_group_name_Hall 'P 1'
loop_
_atom_site_label
_atom_site_fract_x
_atom_site_fract_y
_atom_site_fract_z
Ho1 0.000 0.000 0.000
Ho2 0.234 0.500 0.724
Ho3 0.266 0.000 0.276
Ho4 0.500 0.500 0.000
Ho5 0.734 0.000 0.724
Ho6 0.766 0.500 0.276
Se1 0.123 0.000 0.444
Se2 0.135 0.500 0.989
Se3 0.365 0.000 0.011
Se4 0.377 0.500 0.556
Se5 0.623 0.500 0.444
Se6 0.635 0.000 0.989
Se7 0.865 0.500 0.011
Se8 0.877 0.000 0.556
```

Formation energy from raw total energies = -175.5 kJ/mol of atoms
VASP energy = -80.8 eV/cell

# 3
First-principles (PBE) data for Rb2YReBr6 after structural relaxation, as listed in Alexandria.

Structure (CIF):
```
data_Rb2YReBr6
_cell_length_a 7.622
_cell_length_b 7.622
_cell_length_c 7.622
_cell_angle_alpha 60.00
_cell_angle_beta 60.00
_cell_angle_gamma 60.00
_symmetry_space_group_name_H-M 'P 1'
_symmetry_Int_Tables_number 1
_symmetry_space_group_name_Hall 'P 1'
loop_
_atom_site_label
_atom_site_fract_x
_atom_site_fract_y
_atom_site_fract_z
Rb1 0.250 0.250 0.250
Rb2 0.750 0.750 0.750
Y1 0.000 0.000 0.000
Re1 0.500 0.500 0.500
Br1 0.260 0.260 0.740
Br2 0.260 0.740 0.260
Br3 0.260 0.740 0.740
Br4 0.740 0.260 0.260
Br5 0.740 0.260 0.740
Br6 0.740 0.740 0.260
```

Formation energy from raw total energies = -94.2 kJ/mol of atoms
VASP energy = -40.7 eV/cell

# 4
First-principles (PBE) data for TmCd3Pt4 after structural relaxation, as listed in Alexandria.

Structure (CIF):
```
data_TmCd3Pt4
_cell_length_a 9.711
_cell_length_b 6.027
_cell_length_c 4.975
_cell_angle_alpha 90.00
_cell_angle_beta 90.00
_cell_angle_gamma 90.00
_symmetry_space_group_name_H-M 'P 1'
_symmetry_Int_Tables_number 1
_symmetry_space_group_name_Hall 'P 1'
loop_
_atom_site_label
_atom_site_fract_x
_atom_site_fract_y
_atom_site_fract_z
Tm1 0.000 0.000 0.000
Tm2 0.500 0.000 0.000
Cd1 0.000 0.500 0.000
Cd2 0.250 0.000 0.412
Cd3 0.250 0.500 0.400
Cd4 0.500 0.500 0.000
Cd5 0.750 0.000 0.588
Cd6 0.750 0.500 0.600
Pt1 0.000 0.253 0.500
Pt2 0.000 0.747 0.500
Pt3 0.250 0.257 0.895
Pt4 0.250 0.743 0.895
Pt5 0.500 0.253 0.500
Pt6 0.500 0.747 0.500
Pt7 0.750 0.257 0.105
Pt8 0.750 0.743 0.105
```

Energy of formation = -0.60 eV per atom
VASP energy = -72.4 eV/cell

# 5
First-principles (PBE) data for LaSm2I after structural relaxation, as listed in Alexandria.

Structure (CIF):
```
data_LaSm2I
_cell_length_a 3.826
_cell_length_b 3.826
_cell_length_c 32.266
_cell_angle_alpha 90.00
_cell_angle_beta 90.00
_cell_angle_gamma 120.00
_symmetry_space_group_name_H-M 'P 1'
_symmetry_Int_Tables_number 1
_symmetry_space_group_name_Hall 'P 1'
loop_
_atom_site_label
_atom_site_fract_x
_atom_site_fract_y
_atom_site_fract_z
La1 0.000 0.000 0.000
La2 0.333 0.667 0.667
La3 0.667 0.333 0.333
Sm1 0.000 0.000 0.244
Sm2 0.000 0.000 0.756
Sm3 0.333 0.667 0.423
Sm4 0.333 0.667 0.911
Sm5 0.667 0.333 0.089
Sm6 0.667 0.333 0.577
I1 0.000 0.000 0.500
I2 0.333 0.667 0.167
I3 0.667 0.333 0.833
```

Formation energy from raw total energies = -39.0 kJ/mol of atoms
VASP energy = -52.6 eV/cell

# 6
First-principles (PBE) data for Sr6P2NF after structural relaxation, as listed in Alexandria.

Structure (CIF):
```
data_Sr6P2NF
_cell_length_a 7.363
_cell_length_b 7.363
_cell_length_c 6.580
_cell_angle_alpha 107.26
_cell_angle_beta 107.26
_cell_angle_gamma 57.17
_symmetry_space_group_name_H-M 'P 1'
_symmetry_Int_Tables_number 1
_symmetry_space_group_name_Hall 'P 1'
loop_
_atom_site_label
_atom_site_fract_x
_atom_site_fract_y
_atom_site_fract_z
Sr1 0.167 0.679 0.694
Sr2 0.187 0.187 0.829
Sr3 0.321 0.833 0.306
Sr4 0.679 0.167 0.694
Sr5 0.813 0.813 0.171
Sr6 0.833 0.321 0.306
P1 0.290 0.290 0.323
P2 0.710 0.710 0.677
N1 0.000 0.000 0.500
F1 0.500 0.500 0.000
```

Formation energy from raw total energies = -110.1 kJ/mol of atoms
VASP energy = -42.5 eV/cell

# 7
First-principles (PBE) data for TlMo4Ru after structural relaxation, as listed in Alexandria.

Structure (CIF):
```
data_TlMo4Ru
_cell_length_a 5.251
_cell_length_b 5.251
_cell_length_c 5.251
_cell_angle_alpha 60.00
_cell_angle_beta 60.00
_cell_angle_gamma 60.00
_symmetry_space_group_name_H-M 'P 1'
_symmetry_Int_Tables_number 1
_symmetry_space_group_name_Hall 'P 1'
loop_
_atom_site_label
_atom_site_fract_x
_atom_site_fract_y
_atom_site_fract_z
Tl1 0.000 0.000 0.000
Mo1 0.122 0.626 0.626
Mo2 0.626 0.122 0.626
Mo3 0.626 0.626 0.122
Mo4 0.626 0.626 0.626
Ru1 0.250 0.250 0.250
```

Energy of formation = 0.54 eV per atom
VASP energy = -51.7 eV/cell

# 8
First-principles (PBE) data for CdH2SCl2 after structural relaxation, as listed in Alexandria.

Structure (CIF):
```
data_CdH2SCl2
_cell_length_a 6.760
_cell_length_b 6.760
_cell_length_c 6.456
_cell_angle_alpha 90.00
_cell_angle_beta 90.00
_cell_angle_gamma 76.18
_symmetry_space_group_name_H-M 'P 1'
_symmetry_Int_Tables_number 1
_symmetry_space_group_name_Hall 'P 1'
loop_
_atom_site_label
_atom_site_fract_x
_atom_site_fract_y
_atom_site_fract_z
Cd1 0.088 0.912 0.500
Cd2 0.912 0.088 0.000
H1 0.198 0.618 0.871
H2 0.382 0.802 0.871
H3 0.618 0.198 0.371
H4 0.802 0.382 0.371
S1 0.345 0.655 0.744
S2 0.655 0.345 0.244
Cl1 0.061 0.261 0.699
Cl2 0.261 0.061 0.199
Cl3 0.739 0.939 0.699
Cl4 0.939 0.739 0.199
```

VASP energy = -38.2 eV/cell

# 9
First-principles (PBE) data for La2ErCuS5 after structural relaxation, as listed in Alexandria.

Structure (CIF):
```
data_La2ErCuS5
_cell_length_a 8.677
_cell_length_b 8.677
_cell_length_c 11.782
_cell_angle_alpha 90.00
_cell_angle_beta 90.00
_cell_angle_gamma 153.56
_symmetry_space_group_name_H-M 'P 1'
_symmetry_Int_Tables_number 1
_symmetry_space_group_name_Hall 'P 1'
loop_
_atom_site_label
_atom_site_fract_x
_atom_site_fract_y
_atom_site_fract_z
La1 0.111 0.889 0.500
La2 0.122 0.878 0.128
La3 0.878 0.122 0.628
La4 0.889 0.111 0.000
Er1 0.193 0.807 0.825
Er2 0.807 0.193 0.325
Cu1 0.443 0.557 0.261
Cu2 0.557 0.443 0.761
S1 0.040 0.960 0.862
S2 0.292 0.708 0.483
S3 0.312 0.688 0.167
S4 0.354 0.646 0.817
S5 0.498 0.502 0.587
S6 0.502 0.498 0.087
S7 0.646 0.354 0.317
S8 0.688 0.312 0.667
S9 0.708 0.292 0.983
S10 0.960 0.040 0.362
```

Formation energy from raw total energies = -178.1 kJ/mol of atoms
VASP energy = -111.5 eV/cell

# 10
First-principles (PBE) data for Ho5CuAu4 after structural relaxation, as listed in Alexandria.

Structure (CIF):
```
data_Ho5CuAu4
_cell_length_a 3.541
_cell_length_b 3.541
_cell_length_c 18.014
_cell_angle_alpha 90.00
_cell_angle_beta 90.00
_cell_angle_gamma 90.00
_symmetry_space_group_name_H-M 'P 1'
_symmetry_Int_Tables_number 1
_symmetry_space_group_name_Hall 'P 1'
loop_
_atom_site_label
_atom_site_fract_x
_atom_site_fract_y
_atom_site_fract_z
Ho1 0.000 0.000 0.000
Ho2 0.000 0.000 0.203
Ho3 0.000 0.000 0.405
Ho4 0.000 0.000 0.595
Ho5 0.000 0.000 0.797
Cu1 0.500 0.500 0.500
Au1 0.500 0.500 0.102
Au2 0.500 0.500 0.305
Au3 0.500 0.500 0.695
Au4 0.500 0.500 0.898
```

Energy of formation = -0.75 eV per atom
VASP energy = -47.6 eV/cell

# 11
First-principles (PBE) data for CaNbAsN2 after structural relaxation, as listed in Alexandria.

Structure (CIF):
```
data_CaNbAsN2
_cell_length_a 4.124
_cell_length_b 4.124
_cell_length_c 5.254
_cell_angle_alpha 90.00
_cell_angle_beta 90.00
_cell_angle_gamma 90.00
_symmetry_space_group_name_H-M 'P 1'
_symmetry_Int_Tables_number 1
_symmetry_space_group_name_Hall 'P 1'
loop_
_atom_site_label
_atom_site_fract_x
_atom_site_fract_y
_atom_site_fract_z
Ca1 0.000 0.000 0.000
Nb1 0.500 0.500 0.500
As1 0.500 0.500 0.000
N1 0.000 0.500 0.500
N2 0.500 0.000 0.500
```

Formation energy from raw total energies = -17.0 kJ/mol of atoms
VASP energy = -34.3 eV/cell

# 12
First-principles (PBE) data for Sr3Zn2Ir4 after structural relaxation, as listed in Alexandria.

Structure (CIF):
```
data_Sr3Zn2Ir4
_cell_length_a 4.423
_cell_length_b 6.026
_cell_length_c 8.558
_cell_angle_alpha 101.62
_cell_angle_beta 90.04
_cell_angle_gamma 111.53
_symmetry_space_group_name_H-M 'P 1'
_symmetry_Int_Tables_number 1
_symmetry_space_group_name_Hall 'P 1'
loop_
_atom_site_label
_atom_site_fract_x
_atom_site_fract_y
_atom_site_fract_z
Sr1 0.000 0.000 0.000
Sr2 0.371 0.743 0.624
Sr3 0.629 0.257 0.376
Zn1 0.335 0.670 0.232
Zn2 0.665 0.330 0.768
Ir1 0.078 0.158 0.631
Ir2 0.243 0.486 0.924
Ir3 0.757 0.514 0.076
Ir4 0.922 0.842 0.369
```

Energy of formation = -0.31 eV per atom
VASP energy = -45.8 eV/cell

What did the ninth record say?
First-principles (PBE) data for La2ErCuS5 after structural relaxation, as listed in Alexandria.

Structure (CIF):
```
data_La2ErCuS5
_cell_length_a 8.677
_cell_length_b 8.677
_cell_length_c 11.782
_cell_angle_alpha 90.00
_cell_angle_beta 90.00
_cell_angle_gamma 153.56
_symmetry_space_group_name_H-M 'P 1'
_symmetry_Int_Tables_number 1
_symmetry_space_group_name_Hall 'P 1'
loop_
_atom_site_label
_atom_site_fract_x
_atom_site_fract_y
_atom_site_fract_z
La1 0.111 0.889 0.500
La2 0.122 0.878 0.128
La3 0.878 0.122 0.628
La4 0.889 0.111 0.000
Er1 0.193 0.807 0.825
Er2 0.807 0.193 0.325
Cu1 0.443 0.557 0.261
Cu2 0.557 0.443 0.761
S1 0.040 0.960 0.862
S2 0.292 0.708 0.483
S3 0.312 0.688 0.167
S4 0.354 0.646 0.817
S5 0.498 0.502 0.587
S6 0.502 0.498 0.087
S7 0.646 0.354 0.317
S8 0.688 0.312 0.667
S9 0.708 0.292 0.983
S10 0.960 0.040 0.362
```

Formation energy from raw total energies = -178.1 kJ/mol of atoms
VASP energy = -111.5 eV/cell

- Number 12 is which compound?
  Sr3Zn2Ir4

- What is the VASP energy in the third record?
  -40.7 eV/cell